[1]
First-principles (PBE) data for an optimized crystal structure of Ca2Ga2Cu3, as listed in the Alexandria database.

abc: 10.816 4.031 7.014
angles: 90.00 117.37 90.00
Space group C2/m (No. 12)
Inequivalent atoms, fractional coordinates:
Ca (0.132, 0.000, 0.258) x4
Ga (0.141, 0.000, 0.710) x4
Cu (0.000, 0.500, 0.500) x2
Cu (0.149, 0.500, 0.922) x4

[2]
First-principles (PBE) data for an optimized crystal structure of NdSm3Ir, as listed in the Alexandria database.

## Properties
The calculation puts the distance to the lowest polymorph of the same formula at 90 meV per atom.

abc: 5.567 5.567 5.567
angles: 90.00 90.00 90.00
Space group Pm-3m (No. 221)
Inequivalent atoms, fractional coordinates:
Nd (0.000, 0.000, 0.000) x1
Sm (0.000, 0.500, 0.500) x3
Ir (0.500, 0.500, 0.500) x1

no.,calculated formation energy (meV per atom)
1,-267
2,-198